Crystalline Ba2TiSe4 at its relaxed geometry, computed with PBE-GGA.

Results
Calculated total energy in eV per cell: -74.12
Distance to the lowest polymorph of the same formula in meV per atom: 61
SG: No. 139
E_form (uncorrected) in kJ per mole of atoms: -156.9

Geometry as extended XYZ:
```
14
Lattice="4.995 0.000 0.000 0.000 4.995 0.000 0.000 0.000 16.585" Properties=species:S:1:pos:R:3 pbc="T T T"
Ba 0.000 0.000 2.374
Ba 0.000 0.000 14.211
Ba 2.497 2.497 5.919
Ba 2.497 2.497 10.666
Ti 0.000 0.000 8.292
Ti 2.497 2.497 0.000
Se 0.000 0.000 5.629
Se 0.000 0.000 10.956
Se 0.000 2.497 0.000
Se 0.000 2.497 8.292
Se 2.497 0.000 0.000
Se 2.497 0.000 8.292
Se 2.497 2.497 2.664
Se 2.497 2.497 13.921
```